Entry from the Alexandria database: CaCr2Hg after structural relaxation (PBE).

Cell lengths 3.443, 3.819, 6.768 Å; angles 90.00, 90.00, 90.00 degrees
Last column: magnetic moment on the atom in μB.
Positions (direct):
Cr (0.000, 0.000, 0.039)  3.73
Cr (0.000, 0.000, 0.461)  3.73
Ca (0.500, 0.500, 0.750)  0.05
Hg (0.500, 0.500, 0.250)  -0.02

Properties
DOS at the Fermi energy   2.377 states/eV/f.u.
M_tot   8.5 μB per formula unit
Calculated density   6.43 g/cm3
Energy relative to the elements   0.5878 eV per atom

=====

Entry from the Alexandria database: CaCr2Hg after structural relaxation (PBE).

Cell lengths 2.766, 2.766, 9.279 Å; angles 90.00, 90.00, 90.30 degrees
Positions (direct):
Cr (0.000, 0.000, 0.019)
Cr (0.000, 0.000, 0.481)
Ca (0.500, 0.500, 0.750)
Hg (0.500, 0.500, 0.250)

Properties
DOS at the Fermi energy   4.832 states/eV/f.u.
M_tot   0.0 μB per formula unit
Calculated density   8.06 g/cm3
Energy relative to the elements   1.0618 eV per atom

=====

Entry from the Alexandria database: CaCrHg2 after structural relaxation (PBE).

Cell lengths 4.802, 4.802, 10.304 Å; angles 76.52, 76.52, 90.00 degrees
Last column: magnetic moment on the atom in μB.
Positions (direct):
Cr (0.000, 0.000, 0.000)  3.92
Cr (0.750, 0.250, 0.500)  3.92
Ca (0.500, 0.500, 0.000)  0.00
Ca (0.250, 0.750, 0.500)  0.00
Hg (0.690, 0.125, 0.250)  0.01
Hg (0.060, 0.625, 0.250)  0.01
Hg (0.375, 0.310, 0.750)  0.01
Hg (0.875, 0.940, 0.750)  0.01

Properties
DOS at the Fermi energy   2.633 states/eV/f.u.
M_tot   4.4 μB per formula unit
Calculated density   7.30 g/cm3
Energy relative to the elements   0.2611 eV per atom